Record 1
{
  "formula": "MnReH2O6",
  "functional": "PBE with a Hubbard U",
  "state": "optimized geometry",
  "lattice": [[5.045, 0.000, 0.000], [-2.388, 4.571, 0.000], [-0.257, -2.801, 4.531]],
  "species": ["Mn", "Re", "H", "H", "O", "O", "O", "O", "O", "O"],
  "fractional_positions": [[0.000, 0.000, 0.000], [0.455, 0.990, 0.507], [0.051, 0.448, 0.756], [0.729, 0.666, 0.222], [0.152, 0.552, 0.268], [0.257, 0.136, 0.754], [0.380, 0.134, 0.263], [0.650, 0.911, 0.741], [0.742, 0.867, 0.236], [0.873, 0.470, 0.719]]
}



Record 2
{
  "formula": "MnH2RhO",
  "functional": "PBE with a Hubbard U",
  "state": "optimized geometry",
  "lattice": [[3.285, 0.000, 0.000], [0.000, 3.285, 0.000], [0.000, 0.000, 4.499]],
  "species": ["Mn", "H", "H", "Rh", "O"],
  "fractional_positions": [[0.000, 0.000, 0.000], [0.000, 0.500, 0.500], [0.500, 0.000, 0.500], [0.500, 0.500, 0.500], [0.500, 0.500, 0.000]]
}



Record 3
{
  "formula": "MnH2SO4",
  "functional": "PBE with a Hubbard U",
  "state": "optimized geometry",
  "lattice": [[4.930, 0.000, 0.000], [0.000, 12.249, 0.000], [-4.495, 0.000, 6.037]],
  "species": ["Mn", "Mn", "Mn", "Mn", "H", "H", "H", "H", "H", "H", "H", "H", "S", "S", "S", "S", "O", "O", "O", "O", "O", "O", "O", "O", "O", "O", "O", "O", "O", "O", "O", "O"],
  "fractional_positions": [[0.131, 0.223, 0.281], [0.131, 0.277, 0.781], [0.869, 0.723, 0.219], [0.869, 0.777, 0.719], [0.217, 0.607, 0.098], [0.217, 0.893, 0.598], [0.226, 0.517, 0.250], [0.226, 0.983, 0.750], [0.774, 0.017, 0.250], [0.774, 0.483, 0.750], [0.783, 0.107, 0.402], [0.783, 0.393, 0.902], [0.309, 0.604, 0.727], [0.309, 0.896, 0.227], [0.691, 0.104, 0.773], [0.691, 0.396, 0.273], [0.008, 0.677, 0.540], [0.008, 0.823, 0.040], [0.167, 0.594, 0.205], [0.167, 0.906, 0.705], [0.375, 0.662, 0.937], [0.375, 0.838, 0.437], [0.388, 0.131, 0.772], [0.388, 0.369, 0.272], [0.612, 0.631, 0.728], [0.612, 0.869, 0.228], [0.625, 0.162, 0.563], [0.625, 0.338, 0.063], [0.833, 0.094, 0.295], [0.833, 0.406, 0.795], [0.992, 0.177, 0.960], [0.992, 0.323, 0.460]]
}



no.,total magnetic moment (μB per cell),calculated volume (Å³/atom),energy (eV/cell)
1,4.0,10.4,-69.7
2,4.9,9.7,-28.3
3,20.0,11.4,-193.8